TlI2N | meta-GGA SCAN | single point on PBEsol structure

The space group is Fd-3m (No. 227, origin choice 2) and the conventional cell measures 10.168, 10.168 and 10.168 Å, with angles of 90.00, 90.00 and 90.00 degrees. The inequivalent atoms are Tl at (0.125, 0.125, 0.125), I at (0.000, 0.000, 0.500) and N at (0.125, 0.125, 0.625).

The value obtained for the calculated total energy is -153.0 eV per formula unit. The magnetic moment is 0.0 μB/f.u. Its volume is 32.85 Å³/atom. As for the crystal system: cubic.

=====

ZrTlI2N | meta-GGA SCAN | single point on PBEsol structure

The space group is P4/mmm (No. 123) and the conventional cell measures 5.942, 5.942 and 4.019 Å, with angles of 90.00, 90.00 and 90.00 degrees. The inequivalent atoms are Zr at (0.000, 0.000, 0.000), Tl at (0.500, 0.500, 0.500), I at (0.000, 0.500, 0.000) and N at (0.000, 0.000, 0.500).

The value obtained for the calculated total energy is -188.7 eV per formula unit. The magnetic moment is 0.2 μB/f.u. Its volume is 28.38 Å³/atom. As for the crystal system: tetragonal.

=====

Q: Number 2 is which compound?
A: ZrTlI2N